Compound: Ba2ZrSb
Source: the Alexandria database
Functional: PBE
Structure: optimized geometry

Results
VASP energy, eV per atom: -3.980
N(E_F), states/eV/cell: 26.4

Unit cell a=8.062 b=8.062 c=8.062 alpha=90.00 beta=90.00 gamma=90.00
Element x y z (fractional)
Ba 0.000 0.000 0.000
Ba 0.000 0.500 0.500
Ba 0.250 0.250 0.250
Ba 0.250 0.750 0.750
Ba 0.500 0.000 0.500
Ba 0.500 0.500 0.000
Ba 0.750 0.250 0.750
Ba 0.750 0.750 0.250
Zr 0.000 0.000 0.500
Zr 0.000 0.500 0.000
Zr 0.500 0.000 0.000
Zr 0.500 0.500 0.500
Sb 0.250 0.250 0.750
Sb 0.250 0.750 0.250
Sb 0.750 0.250 0.250
Sb 0.750 0.750 0.750

Compound: CaTb2Y
Source: the Alexandria database
Functional: PBE
Structure: optimized geometry

Results
VASP energy, eV per atom: -4.312
N(E_F), states/eV/cell: 23.2
ΔE_f, eV per atom: 0.12

Unit cell a=24.068 b=3.499 c=6.472 alpha=90.00 beta=94.12 gamma=90.00
Element x y z (fractional)
Ca 0.001 0.000 0.249
Ca 0.499 0.500 0.751
Ca 0.501 0.500 0.249
Ca 0.999 0.000 0.751
Tb 0.127 0.500 0.035
Tb 0.135 0.000 0.545
Tb 0.365 0.500 0.455
Tb 0.373 0.000 0.965
Tb 0.627 0.000 0.035
Tb 0.635 0.500 0.545
Tb 0.865 0.000 0.455
Tb 0.873 0.500 0.965
Y 0.248 0.000 0.248
Y 0.252 0.500 0.752
Y 0.748 0.500 0.248
Y 0.752 0.000 0.752

Compound: Be2GaHg2
Source: the Alexandria database
Functional: PBE
Structure: optimized geometry

Results
VASP energy, eV per atom: -1.807
N(E_F), states/eV/cell: 3.4
ΔE_f, eV per atom: 0.41

Unit cell a=3.697 b=3.697 c=12.568 alpha=90.00 beta=90.00 gamma=90.00
Element x y z (fractional)
Be 0.000 0.500 0.250
Be 0.000 0.500 0.750
Be 0.500 0.000 0.250
Be 0.500 0.000 0.750
Ga 0.000 0.000 0.000
Ga 0.500 0.500 0.500
Hg 0.000 0.000 0.382
Hg 0.000 0.000 0.618
Hg 0.500 0.500 0.118
Hg 0.500 0.500 0.882

Compound: ZrRh2Cl
Source: the Alexandria database
Functional: PBE
Structure: optimized geometry

Results
VASP energy, eV per atom: -6.471
N(E_F), states/eV/cell: 14.8

Unit cell a=3.268 b=3.268 c=23.623 alpha=90.00 beta=90.00 gamma=120.00
Element x y z (fractional)
Zr 0.000 0.000 0.000
Zr 0.333 0.667 0.667
Zr 0.667 0.333 0.333
Rh 0.000 0.000 0.254
Rh 0.000 0.000 0.746
Rh 0.333 0.667 0.413
Rh 0.333 0.667 0.920
Rh 0.667 0.333 0.080
Rh 0.667 0.333 0.587
Cl 0.000 0.000 0.500
Cl 0.333 0.667 0.167
Cl 0.667 0.333 0.833